(one)
! CePdPtRh | the Alexandria database | PBE-GGA | optimized geometry; values from VASP
! calculated volume = 70.2 Å³ per cell
&SYSTEM
  ibrav = 0, nat = 4, ntyp = 4
/
ATOMIC_SPECIES
Ce 140.12 Ce.upf
Pd 106.42 Pd.upf
Rh 102.91 Rh.upf
Pt 195.08 Pt.upf
ATOMIC_POSITIONS crystal
Ce 0.000 0.500 0.500
Pd 0.500 0.500 0.000
Rh 0.500 0.000 0.500
Pt 0.000 0.000 0.000
CELL_PARAMETERS angstrom
-1.127 -1.246 -3.695
2.297 -3.343 0.426
-3.303 -2.052 1.699

=====

(two)
! CePdPtRh | the Alexandria database | PBE-GGA | optimized geometry; values from VASP
! calculated volume = 72.0 Å³ per cell
&SYSTEM
  ibrav = 0, nat = 4, ntyp = 4
/
ATOMIC_SPECIES
Rh 102.91 Rh.upf
Ce 140.12 Ce.upf
Pd 106.42 Pd.upf
Pt 195.08 Pt.upf
ATOMIC_POSITIONS crystal
Rh 0.750 0.750 0.750
Ce 0.000 0.000 0.000
Pd 0.250 0.250 0.250
Pt 0.500 0.500 0.500
CELL_PARAMETERS angstrom
-2.107 -2.734 3.145
-3.190 -3.118 -1.381
0.976 -4.564 0.153

=====

Which of them is the most stable, and which is the least stable? (one) and (two), in that order.

=====

(one)
! CeSmPdPt | the Alexandria database | PBE-GGA | optimized geometry; values from VASP
! calculated volume = 91.4 Å³ per cell
&SYSTEM
  ibrav = 0, nat = 4, ntyp = 4
/
ATOMIC_SPECIES
Sm 150.36 Sm.upf
Pt 195.08 Pt.upf
Pd 106.42 Pd.upf
Ce 140.12 Ce.upf
ATOMIC_POSITIONS crystal
Sm 0.500 0.500 0.500
Pt 0.750 0.750 0.750
Pd 0.250 0.250 0.250
Ce 0.000 0.000 0.000
CELL_PARAMETERS angstrom
-3.121 -2.223 -3.299
0.330 -4.976 -0.835
-3.645 -3.089 1.655

=====

(two)
! CeSmPdPt | the Alexandria database | PBE-GGA | optimized geometry; values from VASP
! calculated volume = 94.6 Å³ per cell
&SYSTEM
  ibrav = 0, nat = 4, ntyp = 4
/
ATOMIC_SPECIES
Ce 140.12 Ce.upf
Pt 195.08 Pt.upf
Pd 106.42 Pd.upf
Sm 150.36 Sm.upf
ATOMIC_POSITIONS crystal
Ce 0.864 0.500 0.728
Pt 0.589 0.500 0.178
Pd 0.410 0.000 0.820
Sm 0.137 0.000 0.274
CELL_PARAMETERS angstrom
3.822 0.000 0.000
0.000 4.601 0.000
-1.911 0.000 5.381

=====

Which of them is the most stable, and which is the least stable? (two) and (one), in that order.

=====

(one)
! CeThPdPt | the Alexandria database | PBE-GGA | optimized geometry; values from VASP
! calculated volume = 97.2 Å³ per cell
&SYSTEM
  ibrav = 0, nat = 4, ntyp = 4
/
ATOMIC_SPECIES
Pd 106.42 Pd.upf
Ce 140.12 Ce.upf
Pt 195.08 Pt.upf
Th 232.04 Th.upf
ATOMIC_POSITIONS crystal
Pd 0.408 0.000 0.816
Ce 0.862 0.500 0.725
Pt 0.594 0.500 0.188
Th 0.136 0.000 0.272
CELL_PARAMETERS angstrom
-1.902 1.191 -3.158
-3.653 0.723 2.473
2.645 4.666 2.543

=====

(two)
! CeThPdPt | the Alexandria database | PBE-GGA | optimized geometry; values from VASP
! calculated volume = 93.2 Å³ per cell
&SYSTEM
  ibrav = 0, nat = 4, ntyp = 4
/
ATOMIC_SPECIES
Ce 140.12 Ce.upf
Th 232.04 Th.upf
Pt 195.08 Pt.upf
Pd 106.42 Pd.upf
ATOMIC_POSITIONS crystal
Ce 0.250 0.250 0.250
Th 0.750 0.750 0.750
Pt 0.500 0.500 0.500
Pd 0.000 0.000 0.000
CELL_PARAMETERS angstrom
-4.844 -1.140 1.063
-2.181 -4.074 -2.130
-1.089 -4.079 2.840

=====

Which of them is the most stable, and which is the least stable? (one) and (two), in that order.